1.
A plane-wave DFT calculation with PBE was carried out for crystalline Sb2MoSe at its relaxed geometry.

Summary:
Formation energy without anion corrections in eV per atom: 0.580

Cell lengths 7.688, 7.688, 7.688 Å; angles 131.42, 131.42, 71.15 degrees
Fractional coordinates of all 8 atoms:
Sb1 0.088 0.625 0.963
Sb2 0.375 0.338 0.463
Sb3 0.662 0.125 0.037
Sb4 0.875 0.912 0.537
Mo1 0.000 0.000 0.000
Mo2 0.750 0.250 0.500
Se1 0.250 0.750 0.500
Se2 0.500 0.500 0.000

2.
A plane-wave DFT calculation with PBE was carried out for crystalline CsSr2Rh at its relaxed geometry.

Summary:
Energy above the lowest structure with this stoichiometry in meV per atom: 338

Cell lengths 5.814, 5.814, 5.814 Å; angles 60.00, 60.00, 60.00 degrees
Fractional coordinates of all 4 atoms:
Cs1 0.000 0.000 0.000
Sr1 0.250 0.250 0.250
Sr2 0.750 0.750 0.750
Rh1 0.500 0.500 0.500

3.
A plane-wave DFT calculation with PBE was carried out for crystalline NaCd2InCl at its relaxed geometry.

Summary:
Formation energy without anion corrections in eV per atom: -0.115

Cell lengths 5.891, 5.891, 4.939 Å; angles 90.00, 90.00, 90.00 degrees
Fractional coordinates of all 5 atoms:
Na1 0.000 0.000 0.000
Cd1 0.000 0.500 0.000
Cd2 0.500 0.000 0.000
In1 0.500 0.500 0.500
Cl1 0.000 0.000 0.500

4.
A plane-wave DFT calculation with PBE was carried out for crystalline ScTlIr4 at its relaxed geometry.

Summary:
Electronic total energy in eV per cell: -45.02

Cell lengths 5.283, 5.283, 5.283 Å; angles 60.00, 60.00, 60.00 degrees
Fractional coordinates of all 6 atoms:
Sc1 0.000 0.000 0.000
Tl1 0.750 0.750 0.750
Ir1 0.375 0.375 0.375
Ir2 0.375 0.375 0.875
Ir3 0.375 0.875 0.375
Ir4 0.875 0.375 0.375

5.
A plane-wave DFT calculation with PBE was carried out for crystalline Rb3NbRu at its relaxed geometry.

Summary:
Energy above the lowest structure with this stoichiometry in meV per atom: 0

Cell lengths 6.029, 6.029, 6.029 Å; angles 90.00, 90.00, 90.00 degrees
Fractional coordinates of all 5 atoms:
Rb1 0.000 0.000 0.500
Rb2 0.000 0.500 0.000
Rb3 0.500 0.000 0.000
Nb1 0.500 0.500 0.500
Ru1 0.000 0.000 0.000

6.
A plane-wave DFT calculation with PBE was carried out for crystalline TaBeOs2 at its relaxed geometry.

Summary:
Electronic total energy in eV per cell: -38.41

Cell lengths 2.783, 2.783, 7.150 Å; angles 90.00, 90.00, 90.00 degrees
Fractional coordinates of all 4 atoms:
Ta1 0.000 0.000 0.000
Be1 0.500 0.500 0.244
Os1 0.000 0.000 0.444
Os2 0.500 0.500 0.686

7.
A plane-wave DFT calculation with PBE was carried out for crystalline Ac2TmGe2 at its relaxed geometry.

Summary:
Energy above the lowest structure with this stoichiometry in meV per atom: 79

Cell lengths 8.945, 8.945, 8.266 Å; angles 90.00, 90.00, 149.89 degrees
Fractional coordinates of all 10 atoms:
Ac1 0.045 0.955 0.500
Ac2 0.207 0.793 0.849
Ac3 0.793 0.207 0.349
Ac4 0.955 0.045 0.000
Tm1 0.407 0.593 0.643
Tm2 0.593 0.407 0.143
Ge1 0.175 0.825 0.232
Ge2 0.439 0.561 0.299
Ge3 0.561 0.439 0.799
Ge4 0.825 0.175 0.732

8.
A plane-wave DFT calculation with PBE was carried out for crystalline Na3LaPr2Se6 at its relaxed geometry.

Summary:
Formation energy without anion corrections in eV per atom: -1.704

Cell lengths 7.517, 7.517, 7.430 Å; angles 99.70, 99.70, 120.00 degrees
Fractional coordinates of all 12 atoms:
Na1 0.000 0.000 0.000
Na2 0.333 0.667 0.000
Na3 0.667 0.333 0.000
La1 0.500 0.500 0.500
Pr1 0.167 0.833 0.500
Pr2 0.833 0.167 0.500
Se1 0.086 0.421 0.262
Se2 0.244 0.244 0.738
Se3 0.421 0.086 0.262
Se4 0.579 0.914 0.738
Se5 0.756 0.756 0.262
Se6 0.914 0.579 0.738

no.,magnetic moment (μB/cell),D(E_F) (states/eV/atom)
1,0.00,0.508
2,0.00,0.894
3,0.00,0.595
4,0.00,1.382
5,5.18,6.204
6,0.00,0.242
7,0.00,0.917
8,0.00,0.000